# 1
{"formula": "YCdGaW2", "functional": "PBE", "state": "relaxed", "lattice": [[4.993, 0.000, 0.000], [0.000, 4.993, 0.000], [0.000, 0.000, 5.269]], "species": ["Y", "Cd", "Ga", "W", "W"], "fractional_positions": [[0.000, 0.000, 0.000], [0.500, 0.500, 0.500], [0.000, 0.000, 0.500], [0.000, 0.500, 0.000], [0.500, 0.000, 0.000]], "dos_at_fermi_per_ev_cell": 6.539, "space_group": "No. 123", "e_form_mev_per_atom": 2340, "e_above_lowest_polymorph_mev_per_atom": 249, "rho_g_cm3": 8.08, "final_energy_ev_per_cell": -24.61}

---

# 2
{"formula": "YCdGaW2", "functional": "PBE", "state": "relaxed", "lattice": [[4.945, 0.000, 0.000], [0.000, 4.945, 0.000], [0.000, 0.000, 5.288]], "species": ["Y", "Cd", "Ga", "W", "W"], "fractional_positions": [[0.000, 0.000, 0.000], [0.000, 0.000, 0.500], [0.500, 0.500, 0.000], [0.000, 0.500, 0.500], [0.500, 0.000, 0.500]], "dos_at_fermi_per_ev_cell": 3.324, "space_group": "No. 123", "e_form_mev_per_atom": 2091, "e_above_lowest_polymorph_mev_per_atom": 0, "rho_g_cm3": 8.20, "final_energy_ev_per_cell": -25.86}

---

# 3
{"formula": "Y2Cd3Ga", "functional": "PBE", "state": "relaxed", "lattice": [[3.533, 0.000, 0.000], [0.000, 4.826, 0.000], [0.000, 0.000, 8.340]], "species": ["Y", "Y", "Cd", "Cd", "Cd", "Ga"], "fractional_positions": [[0.000, 0.000, 0.000], [0.000, 0.500, 0.475], [0.500, 0.000, 0.649], [0.500, 0.500, 0.155], [0.500, 0.500, 0.817], [0.500, 0.000, 0.321]], "dos_at_fermi_per_ev_cell": 4.261, "space_group": "No. 25", "e_form_mev_per_atom": -401, "rho_g_cm3": 6.83, "final_energy_ev_per_cell": -21.10}